# NaLaSm2Hg4 PBE relaxed
data_NaLaSm2Hg4
_chemical_formula_sum 'Na3 La3 Sm6 Hg12'
_cell_length_a 5.3215
_cell_length_b 5.3215
_cell_length_c 26.7621
_cell_angle_alpha 90.00
_cell_angle_beta 90.00
_cell_angle_gamma 120.00
_space_group_name_H-M_alt 'R -3 m'
_space_group_IT_number 166
_space_group_name_Hall '-R 3 2"'
loop_
_atom_site_label
_atom_site_type_symbol
_atom_site_fract_x
_atom_site_fract_y
_atom_site_fract_z
_atom_site_occupancy
Na1 Na 0.0000 0.0000 0.0000 1
La1 La 0.0000 0.0000 0.5000 1
Sm1 Sm 0.0000 0.0000 0.2556 1
Hg1 Hg 0.0000 0.0000 0.1217 1
Hg2 Hg 0.0000 0.0000 0.3742 1
# - formation energy from the elements (meV per atom) = -418
# - crystal system = trigonal

***

# NaLaSnHg PBE relaxed
data_NaLaSnHg
_chemical_formula_sum 'Na4 La4 Sn4 Hg4'
_cell_length_a 7.6879
_cell_length_b 7.6879
_cell_length_c 7.6879
_cell_angle_alpha 90.00
_cell_angle_beta 90.00
_cell_angle_gamma 90.00
_space_group_name_H-M_alt 'F -4 3 m'
_space_group_IT_number 216
_space_group_name_Hall 'F -4 2 3'
loop_
_atom_site_label
_atom_site_type_symbol
_atom_site_fract_x
_atom_site_fract_y
_atom_site_fract_z
_atom_site_occupancy
Na1 Na 0.0000 0.0000 0.0000 1
La1 La 0.0000 0.0000 0.5000 1
Sn1 Sn 0.2500 0.2500 0.7500 1
Hg1 Hg 0.2500 0.2500 0.2500 1
# - formation energy from the elements (meV per atom) = -505
# - crystal system = cubic

***

# NaSrLa2Hg4 PBE relaxed
data_NaSrLa2Hg4
_chemical_formula_sum 'Na3 Sr3 La6 Hg12'
_cell_length_a 5.4656
_cell_length_b 5.4656
_cell_length_c 26.9951
_cell_angle_alpha 90.00
_cell_angle_beta 90.00
_cell_angle_gamma 120.00
_space_group_name_H-M_alt 'R -3 m'
_space_group_IT_number 166
_space_group_name_Hall '-R 3 2"'
loop_
_atom_site_label
_atom_site_type_symbol
_atom_site_fract_x
_atom_site_fract_y
_atom_site_fract_z
_atom_site_occupancy
Na1 Na 0.0000 0.0000 0.0000 1
Sr1 Sr 0.0000 0.0000 0.5000 1
La1 La 0.0000 0.0000 0.2535 1
Hg1 Hg 0.0000 0.0000 0.1229 1
Hg2 Hg 0.0000 0.0000 0.3742 1
# - formation energy from the elements (meV per atom) = -449
# - crystal system = trigonal

***

# NaLaTb2Hg4 PBE relaxed
data_NaLaTb2Hg4
_chemical_formula_sum 'Na3 La3 Tb6 Hg12'
_cell_length_a 5.2595
_cell_length_b 5.2595
_cell_length_c 26.7327
_cell_angle_alpha 90.00
_cell_angle_beta 90.00
_cell_angle_gamma 120.00
_space_group_name_H-M_alt 'R -3 m'
_space_group_IT_number 166
_space_group_name_Hall '-R 3 2"'
loop_
_atom_site_label
_atom_site_type_symbol
_atom_site_fract_x
_atom_site_fract_y
_atom_site_fract_z
_atom_site_occupancy
Na1 Na 0.0000 0.0000 0.0000 1
La1 La 0.0000 0.0000 0.5000 1
Tb1 Tb 0.0000 0.0000 0.2561 1
Hg1 Hg 0.0000 0.0000 0.1191 1
Hg2 Hg 0.0000 0.0000 0.3740 1
# - formation energy from the elements (meV per atom) = -409
# - crystal system = trigonal

***

# NaLaTbHg PBE relaxed
data_NaLaTbHg
_chemical_formula_sum 'Na4 La4 Tb4 Hg4'
_cell_length_a 7.7742
_cell_length_b 7.7742
_cell_length_c 7.7742
_cell_angle_alpha 90.00
_cell_angle_beta 90.00
_cell_angle_gamma 90.00
_space_group_name_H-M_alt 'F -4 3 m'
_space_group_IT_number 216
_space_group_name_Hall 'F -4 2 3'
loop_
_atom_site_label
_atom_site_type_symbol
_atom_site_fract_x
_atom_site_fract_y
_atom_site_fract_z
_atom_site_occupancy
Na1 Na 0.0000 0.0000 0.0000 1
La1 La 0.2500 0.2500 0.7500 1
Tb1 Tb 0.2500 0.2500 0.2500 1
Hg1 Hg 0.0000 0.0000 0.5000 1
# - formation energy from the elements (meV per atom) = -68
# - crystal system = cubic

***

# NaLaHgTe PBE relaxed
data_NaLaHgTe
_chemical_formula_sum 'Na4 La4 Hg4 Te4'
_cell_length_a 7.7387
_cell_length_b 7.7387
_cell_length_c 7.7387
_cell_angle_alpha 90.00
_cell_angle_beta 90.00
_cell_angle_gamma 90.00
_space_group_name_H-M_alt 'F -4 3 m'
_space_group_IT_number 216
_space_group_name_Hall 'F -4 2 3'
loop_
_atom_site_label
_atom_site_type_symbol
_atom_site_fract_x
_atom_site_fract_y
_atom_site_fract_z
_atom_site_occupancy
Na1 Na 0.0000 0.0000 0.0000 1
La1 La 0.0000 0.0000 0.5000 1
Hg1 Hg 0.2500 0.2500 0.2500 1
Te1 Te 0.2500 0.2500 0.7500 1
# - energy relative to the elements, uncorrected (eV/atom) = -0.68
# - crystal system = cubic

***

# NaLaTlHg PBE relaxed
data_NaLaTlHg
_chemical_formula_sum 'Na4 La4 Tl4 Hg4'
_cell_length_a 7.6656
_cell_length_b 7.6656
_cell_length_c 7.6656
_cell_angle_alpha 90.00
_cell_angle_beta 90.00
_cell_angle_gamma 90.00
_space_group_name_H-M_alt 'F -4 3 m'
_space_group_IT_number 216
_space_group_name_Hall 'F -4 2 3'
loop_
_atom_site_label
_atom_site_type_symbol
_atom_site_fract_x
_atom_site_fract_y
_atom_site_fract_z
_atom_site_occupancy
Na1 Na 0.0000 0.0000 0.0000 1
La1 La 0.0000 0.0000 0.5000 1
Tl1 Tl 0.2500 0.2500 0.7500 1
Hg1 Hg 0.2500 0.2500 0.2500 1
# - formation energy from the elements (meV per atom) = -357
# - crystal system = cubic

***

# NaLaY2Hg4 PBE relaxed
data_NaLaY2Hg4
_chemical_formula_sum 'Na3 La3 Y6 Hg12'
_cell_length_a 5.2502
_cell_length_b 5.2502
_cell_length_c 26.7792
_cell_angle_alpha 90.00
_cell_angle_beta 90.00
_cell_angle_gamma 120.00
_space_group_name_H-M_alt 'R -3 m'
_space_group_IT_number 166
_space_group_name_Hall '-R 3 2"'
loop_
_atom_site_label
_atom_site_type_symbol
_atom_site_fract_x
_atom_site_fract_y
_atom_site_fract_z
_atom_site_occupancy
Na1 Na 0.0000 0.0000 0.0000 1
La1 La 0.0000 0.0000 0.5000 1
Y1 Y 0.0000 0.0000 0.2567 1
Hg1 Hg 0.0000 0.0000 0.1188 1
Hg2 Hg 0.0000 0.0000 0.3743 1
# - formation energy from the elements (meV per atom) = -415
# - crystal system = trigonal

***

# NaLaZnHg PBE relaxed
data_NaLaZnHg
_chemical_formula_sum 'Na4 La4 Zn4 Hg4'
_cell_length_a 7.4477
_cell_length_b 7.4477
_cell_length_c 7.4477
_cell_angle_alpha 90.00
_cell_angle_beta 90.00
_cell_angle_gamma 90.00
_space_group_name_H-M_alt 'F -4 3 m'
_space_group_IT_number 216
_space_group_name_Hall 'F -4 2 3'
loop_
_atom_site_label
_atom_site_type_symbol
_atom_site_fract_x
_atom_site_fract_y
_atom_site_fract_z
_atom_site_occupancy
Na1 Na 0.0000 0.0000 0.0000 1
La1 La 0.0000 0.0000 0.5000 1
Zn1 Zn 0.2500 0.2500 0.2500 1
Hg1 Hg 0.2500 0.2500 0.7500 1
# - formation energy from the elements (meV per atom) = -265
# - crystal system = cubic

***

# LaNb3Hg PBE relaxed
data_LaNb3Hg
_chemical_formula_sum 'La1 Nb3 Hg1'
_cell_length_a 5.1731
_cell_length_b 5.1731
_cell_length_c 5.1731
_cell_angle_alpha 90.00
_cell_angle_beta 90.00
_cell_angle_gamma 90.00
_space_group_name_H-M_alt 'P m -3 m'
_space_group_IT_number 221
_space_group_name_Hall '-P 4 2 3'
loop_
_atom_site_label
_atom_site_type_symbol
_atom_site_fract_x
_atom_site_fract_y
_atom_site_fract_z
_atom_site_occupancy
La1 La 0.0000 0.0000 0.0000 1
Nb1 Nb 0.0000 0.5000 0.5000 1
Hg1 Hg 0.5000 0.5000 0.5000 1
# - formation energy from the elements (meV per atom) = 1506
# - crystal system = cubic
# - excess energy over the best structure of this formula in the dataset (meV/atom) = 0

***

# LaNbHg3 PBE relaxed
data_LaNbHg3
_chemical_formula_sum 'La1 Nb1 Hg3'
_cell_length_a 5.3088
_cell_length_b 5.3088
_cell_length_c 5.3088
_cell_angle_alpha 90.00
_cell_angle_beta 90.00
_cell_angle_gamma 90.00
_space_group_name_H-M_alt 'P m -3 m'
_space_group_IT_number 221
_space_group_name_Hall '-P 4 2 3'
loop_
_atom_site_label
_atom_site_type_symbol
_atom_site_fract_x
_atom_site_fract_y
_atom_site_fract_z
_atom_site_occupancy
La1 La 0.0000 0.0000 0.0000 1
Nb1 Nb 0.5000 0.5000 0.5000 1
Hg1 Hg 0.0000 0.5000 0.5000 1
# - formation energy from the elements (meV per atom) = 314
# - crystal system = cubic
# - excess energy over the best structure of this formula in the dataset (meV/atom) = 0

***

# LaNbHg3 PBE relaxed
data_LaNbHg3
_chemical_formula_sum 'La1 Nb1 Hg3'
_cell_length_a 5.6823
_cell_length_b 5.6823
_cell_length_c 5.6823
_cell_angle_alpha 90.00
_cell_angle_beta 90.00
_cell_angle_gamma 90.00
_space_group_name_H-M_alt 'P m -3 m'
_space_group_IT_number 221
_space_group_name_Hall '-P 4 2 3'
loop_
_atom_site_label
_atom_site_type_symbol
_atom_site_fract_x
_atom_site_fract_y
_atom_site_fract_z
_atom_site_occupancy
La1 La 0.0000 0.0000 0.0000 1
Nb1 Nb 0.5000 0.5000 0.5000 1
Hg1 Hg 0.0000 0.0000 0.5000 1
# - formation energy from the elements (meV per atom) = 1486
# - crystal system = cubic
# - excess energy over the best structure of this formula in the dataset (meV/atom) = 1172

***

Spin magnetization / μB/cell: 0.00, 0.00, 0.00, 0.00, 3.05, 0.00, 0.00, 0.00, 0.00, 2.16, 0.00, 0.00